Record 1
VASP calculation (PBE) on a relaxed VSnTe2 crystal.

Computed properties:
- crystal system = orthorhombic
- ΔE_f (raw) (eV/f.u.) = -0.50
- D(E_F) (states/eV/f.u.) = 3.43
- spin magnetization (Bohr magnetons per cell) = 5.20

a b c (Å): 4.014 5.383 10.252
angles (deg): 90.00 101.29 90.00
Each line ends with the local moment (μB).
Element x y z (fractional)
Sn 0.932 0.750 0.864  0.03
Sn 0.068 0.250 0.136  0.03
Te 0.219 0.250 0.438  -0.11
Te 0.781 0.750 0.562  -0.11
Te 0.585 0.750 0.171  -0.04
Te 0.415 0.250 0.829  -0.04
V 0.817 0.250 0.633  2.31
V 0.183 0.750 0.367  2.31

---

Record 2
VASP calculation (PBE) on a relaxed Dy4PaGa15 crystal.

Computed properties:
- crystal system = tetragonal
- D(E_F) (states/eV/f.u.) = 7.54
- energy relative to the elements (meV per atom) = -511.5
- spin magnetization (Bohr magnetons per cell) = 0.00

a b c (Å): 4.258 4.258 21.539
angles (deg): 90.00 90.00 90.00
Element x y z (fractional)
Ga 0.000 0.500 0.899
Ga 0.000 0.500 0.101
Ga 0.500 0.500 0.800
Ga 0.500 0.500 0.400
Ga 0.500 0.500 0.600
Ga 0.000 0.500 0.500
Ga 0.500 0.000 0.300
Ga 0.000 0.500 0.700
Ga 0.500 0.000 0.101
Ga 0.000 0.500 0.300
Ga 0.500 0.500 0.000
Ga 0.500 0.000 0.899
Ga 0.500 0.500 0.200
Ga 0.500 0.000 0.700
Ga 0.500 0.000 0.500
Dy 0.000 0.000 0.201
Dy 0.000 0.000 0.400
Dy 0.000 0.000 0.600
Dy 0.000 0.000 0.799
Pa 0.000 0.000 0.000

---

Record 3
VASP calculation (PBE) on a relaxed PmNd4Sm2Cd crystal.

Computed properties:
- crystal system = tetragonal
- D(E_F) (states/eV/f.u.) = 13.20
- energy relative to the elements (meV per atom) = 19.6
- spin magnetization (Bohr magnetons per cell) = 0.00

a b c (Å): 5.811 5.808 9.708
angles (deg): 53.23 90.00 90.00
Element x y z (fractional)
Nd 0.000 0.272 0.228
Nd 0.500 0.771 0.229
Nd 0.500 0.229 0.771
Nd 0.000 0.728 0.772
Cd 0.500 0.500 0.000
Pm 0.000 0.500 0.500
Sm 0.000 0.000 0.000
Sm 0.500 0.000 0.500